[1]
## SnH6CI3N (meta-GGA SCAN)

Data for a PBEsol-optimized structure of SnH6CI3N.

The structure in POSCAR format:
```
SnH6CI3N
1.0
8.3027 0.0000 0.0000
0.0000 8.9585 0.0000
0.0000 0.0000 12.3894
Sn H C I N
4 24 4 12 4
Direct
0.5000 0.5000 0.0000
0.0000 0.0000 0.0000
0.5000 0.5000 0.5000
0.0000 0.0000 0.5000
0.5052 0.8486 0.3180
0.4948 0.1514 0.6820
0.9948 0.3486 0.6820
0.0052 0.6514 0.3180
0.4948 0.1514 0.8180
0.5052 0.8486 0.1820
0.0052 0.6514 0.1820
0.9948 0.3486 0.8180
0.6678 0.9148 0.2500
0.3322 0.0852 0.7500
0.8322 0.4148 0.7500
0.1678 0.5852 0.2500
0.5091 0.1192 0.3228
0.4909 0.8808 0.6772
0.9909 0.6192 0.6772
0.0091 0.3808 0.3228
0.4909 0.8808 0.8228
0.5091 0.1192 0.1772
0.0091 0.3808 0.1772
0.9909 0.6192 0.8228
0.3372 0.0480 0.2500
0.6628 0.9520 0.7500
0.1628 0.5480 0.7500
0.8372 0.4520 0.2500
0.4692 0.0593 0.2500
0.5308 0.9407 0.7500
0.0308 0.5593 0.7500
0.9692 0.4407 0.2500
0.4657 0.4828 0.2500
0.5343 0.5172 0.7500
0.0343 0.9828 0.7500
0.9657 0.0172 0.2500
0.1997 0.2939 0.9776
0.8003 0.7061 0.0224
0.3003 0.7939 0.0224
0.6997 0.2061 0.9776
0.8003 0.7061 0.4776
0.1997 0.2939 0.5224
0.6997 0.2061 0.5224
0.3003 0.7939 0.4776
0.5421 0.9084 0.2500
0.4579 0.0916 0.7500
0.9579 0.4084 0.7500
0.0421 0.5916 0.2500
```

Properties
As for the space group: Pnma (62). The size of the total moment comes out at 0.0 μB/cell. Its crystal system is orthorhombic. The value obtained for the total energy is -762.969 eV for the cell shown. Its volume is 19.2 A^3/atom.

---

[2]
## KB6 (meta-GGA SCAN)

Data for a PBEsol-optimized structure of KB6.

The structure in POSCAR format:
```
KB6
1.0
4.2040 0.0000 0.0000
0.0000 4.2040 0.0000
0.0000 0.0000 4.2040
K B
1 6
Direct
0.5000 0.5000 0.5000
0.6989 0.0000 0.0000
0.3011 0.0000 0.0000
0.0000 0.0000 0.6989
0.0000 0.0000 0.3011
0.0000 0.3011 0.0000
0.0000 0.6989 0.0000
```

Properties
As for the space group: Pm-3m (221). The size of the total moment comes out at 0.0 μB/cell. Its density of states at the Fermi level is 1.2 states/eV per cell. As for the formation energy from the elements: -9.23 kJ/mol of atoms. Its crystal system is cubic. Its volume is 10.6 A^3/atom.

---

[3]
## ScS3O (meta-GGA SCAN)

Data for a PBEsol-optimized structure of ScS3O.

The structure in POSCAR format:
```
ScS3O
1.0
4.8699 0.0000 0.0000
0.0000 4.8699 0.0000
0.0000 0.0000 4.8699
Sc S O
1 3 1
Direct
0.0000 0.0000 0.0000
0.0000 0.5000 0.0000
0.0000 0.0000 0.5000
0.5000 0.0000 0.0000
0.5000 0.5000 0.5000
```

Properties
As for the space group: Pm-3m (221). The size of the total moment comes out at 5.0 μB/cell. The formation energy (no corrections) comes out at 181.1 meV/atom. Its density of states at the Fermi level is 2.7 states/eV per cell. Its crystal system is cubic. Its volume is 23.1 A^3/atom.

---

[4]
## CsCd3Te (meta-GGA SCAN)

Data for a PBEsol-optimized structure of CsCd3Te.

The structure in POSCAR format:
```
CsCd3Te
1.0
6.6576 0.0000 0.0000
0.0000 6.6576 0.0000
0.0000 0.0000 6.6576
Cs Te Cd
1 1 3
Direct
0.0000 0.0000 0.0000
0.5000 0.5000 0.5000
0.0000 0.5000 0.0000
0.0000 0.0000 0.5000
0.5000 0.0000 0.0000
```

Properties
As for the space group: Pm-3m (221). The size of the total moment comes out at 1.0 μB/cell. The formation energy (no corrections) comes out at 725.0 meV/atom. Its density of states at the Fermi level is 6.8 states/eV per cell. Its crystal system is cubic. Its volume is 59.0 A^3/atom.

---

[5]
## In3Te3Br (meta-GGA SCAN)

Data for a PBEsol-optimized structure of In3Te3Br.

The structure in POSCAR format:
```
In3Te3Br
1.0
-2.7077 3.1849 -1.0247
-8.6584 -6.1125 3.8810
2.4274 7.7157 17.5674
In Te Br
12 12 4
Direct
0.7500 0.8142 0.5149
0.2500 0.1858 0.4851
0.2500 0.6858 0.0149
0.7500 0.3142 0.9851
0.7500 0.9416 0.3923
0.2500 0.0584 0.6077
0.2500 0.5584 0.8923
0.7500 0.4416 0.1077
0.7500 0.8578 0.8646
0.2500 0.1422 0.1354
0.2500 0.6422 0.3646
0.7500 0.3578 0.6354
0.7500 0.7510 0.2950
0.2500 0.2490 0.7050
0.2500 0.7490 0.7950
0.7500 0.2510 0.2050
0.7500 0.8528 0.0097
0.2500 0.1472 0.9903
0.2500 0.6472 0.5097
0.7500 0.3528 0.4903
0.7500 0.9103 0.6495
0.2500 0.0897 0.3505
0.2500 0.5897 0.1495
0.7500 0.4103 0.8505
0.7500 0.5742 0.6729
0.2500 0.4258 0.3271
0.2500 0.9258 0.1729
0.7500 0.0742 0.8271
```

Properties
As for the space group: Pnma (62). The size of the total moment comes out at 0.0 μB/cell. The formation energy (no corrections) comes out at -491.7 meV/atom. Its crystal system is orthorhombic. Its volume is 33.6 A^3/atom.

---

[6]
## In2HgBi2 (meta-GGA SCAN)

Data for a PBEsol-optimized structure of In2HgBi2.

The structure in POSCAR format:
```
In2HgBi2
1.0
-0.1854 -3.7730 2.4439
2.4569 -2.1335 -3.1073
5.1658 4.9728 3.9276
Hg Bi In
1 2 2
Direct
0.0000 0.0000 0.0000
0.3883 0.3883 0.7766
0.6117 0.6117 0.2234
0.2500 0.7500 0.5000
0.7500 0.2500 0.5000
```

Properties
As for the space group: I4/mmm (139). The size of the total moment comes out at 0.0 μB/cell. Its density of states at the Fermi level is 2.0 states/eV per cell. As for the formation energy from the elements: 7.17 kJ/mol of atoms. Its crystal system is tetragonal. Its volume is 30.5 A^3/atom. For the polymorph energy (0 for the lowest one), the calculation gives 0 kJ/mol of formula units.

---

[7]
## Sc2CrGeO (meta-GGA SCAN)

Data for a PBEsol-optimized structure of Sc2CrGeO.

The structure in POSCAR format:
```
Sc2CrGeO
1.0
4.4989 0.0000 0.0000
0.0000 4.9937 0.0000
0.0000 0.0000 4.9937
Sc Cr Ge O
2 1 1 1
Direct
0.0000 0.0000 0.5000
0.0000 0.5000 0.0000
0.5000 0.0000 0.0000
0.0000 0.0000 0.0000
0.5000 0.5000 0.5000
```

Properties
As for the space group: P4/mmm (123). The size of the total moment comes out at 5.3 μB/cell. The formation energy (no corrections) comes out at 277.2 meV/atom. Its density of states at the Fermi level is 3.7 states/eV per cell. Its crystal system is tetragonal. Its volume is 22.4 A^3/atom.

---

[8]
## ReRh4 (meta-GGA SCAN)

Data for a PBEsol-optimized structure of ReRh4.

The structure in POSCAR format:
```
ReRh4
1.0
-1.7131 1.1939 -3.1613
-3.6941 -2.5378 -1.2269
-3.3608 3.1246 0.7310
Re Rh
1 4
Direct
0.0000 0.0000 0.0000
0.3957 0.3998 0.8088
0.6043 0.6002 0.1912
0.7955 0.8088 0.6002
0.2045 0.1912 0.3998
```

Properties
As for the space group: I4/m (87). The size of the total moment comes out at 0.0 μB/cell. Its density of states at the Fermi level is 4.8 states/eV per cell. As for the formation energy from the elements: -6.99 kJ/mol of atoms. Its crystal system is tetragonal. Its volume is 13.6 A^3/atom.

---

[9]
## Cu2TeCl (meta-GGA SCAN)

Data for a PBEsol-optimized structure of Cu2TeCl.

The structure in POSCAR format:
```
Cu2TeCl
1.0
-0.6325 2.6799 -4.8175
-1.4824 -4.7532 -2.4495
-4.3244 2.0581 4.9083
Te Cu Cl
2 4 2
Direct
0.2500 0.7500 0.5000
0.0000 0.0000 0.0000
0.3975 0.8750 0.2500
0.8525 0.3750 0.2500
0.1250 0.1475 0.7500
0.6250 0.6025 0.7500
0.7500 0.2500 0.5000
0.5000 0.5000 0.0000
```

Properties
As for the space group: I-42d (122). The size of the total moment comes out at 0.0 μB/cell. The formation energy (no corrections) comes out at -206.8 meV/atom. Its density of states at the Fermi level is 6.0 states/eV per cell. Its crystal system is tetragonal. Its volume is 21.6 A^3/atom. For the polymorph energy (0 for the lowest one), the calculation gives 26 kJ/mol of formula units.

---

[10]
## LiTi2Pt2 (meta-GGA SCAN)

Data for a PBEsol-optimized structure of LiTi2Pt2.

The structure in POSCAR format:
```
LiTi2Pt2
1.0
-0.3555 -0.5222 2.7450
1.0284 -7.4053 -1.2755
7.4531 0.8412 1.1253
Li Pt Ti
2 4 4
Direct
0.0000 0.0000 0.0000
0.0000 0.5000 0.5000
0.0000 0.3623 0.8623
0.0000 0.8623 0.6377
0.0000 0.6377 0.1377
0.0000 0.1377 0.3623
0.5000 0.1587 0.6587
0.5000 0.6587 0.8413
0.5000 0.8413 0.3413
0.5000 0.3413 0.1587
```

Properties
As for the space group: P4/mbm (127). The size of the total moment comes out at 0.0 μB/cell. Its density of states at the Fermi level is 5.5 states/eV per cell. As for the formation energy from the elements: -90.95 kJ/mol of atoms. Its crystal system is tetragonal. Its volume is 16.2 A^3/atom.

---

[11]
## CuHgAu2 (meta-GGA SCAN)

Data for a PBEsol-optimized structure of CuHgAu2.

The structure in POSCAR format:
```
CuHgAu2
1.0
4.0844 0.0000 0.0000
0.0000 4.0844 0.0000
-2.0422 -2.0422 3.9624
Au Cu Hg
2 1 1
Direct
0.0000 0.0000 0.0000
0.7500 0.2500 0.5000
0.5000 0.5000 0.0000
0.2500 0.7500 0.5000
```

Properties
As for the space group: I-4m2 (119). The size of the total moment comes out at 0.0 μB/cell. Its density of states at the Fermi level is 1.1 states/eV per cell. As for the formation energy from the elements: 5.90 kJ/mol of atoms. Its crystal system is tetragonal. Its volume is 16.5 A^3/atom.

---

[12]
## LiCaGe2 (meta-GGA SCAN)

Data for a PBEsol-optimized structure of LiCaGe2.

The structure in POSCAR format:
```
LiCaGe2
1.0
-2.8262 1.8880 -1.8928
-2.9432 -6.9099 -2.4977
-6.1406 -0.5135 8.6564
Li Ca Ge
4 4 8
Direct
0.7500 0.5081 0.1104
0.7500 0.0081 0.3896
0.2500 0.4919 0.8896
0.2500 0.9919 0.6104
0.2500 0.6351 0.3638
0.7500 0.8649 0.8638
0.7500 0.3649 0.6362
0.2500 0.1351 0.1362
0.7500 0.2699 0.9379
0.7500 0.3417 0.3203
0.2500 0.1583 0.8203
0.7500 0.8417 0.1797
0.2500 0.7301 0.0621
0.7500 0.7699 0.5621
0.2500 0.2301 0.4379
0.2500 0.6583 0.6797
```

Properties
As for the space group: Pnma (62). The size of the total moment comes out at 0.0 μB/cell. Its density of states at the Fermi level is 5.5 states/eV per cell. As for the formation energy from the elements: -52.96 kJ/mol of atoms. Its crystal system is orthorhombic. Its volume is 20.4 A^3/atom.